Compound: Dy4Ho5Th2
Source: Alexandria
Functional: PBE
Structure: optimized geometry

a = 3.5279 Å, b = 8.8308 Å, c = 11.1612 Å
α = 90.80°, β = 90.62°, γ = 90.03°
Last column: nearest neighbours and their distance in Å.
Fractional positions:
Dy 0.2112 0.0860 0.2614  5 Ho 3.18-3.53, 1 Th 3.44, 2 Dy 3.53
Dy 0.2466 0.2689 0.7964  6 Ho 3.42-3.79, 2 Th 3.49-3.53, 4 Dy 3.53-3.72
Dy 0.7534 0.7311 0.2036  6 Ho 3.42-3.79, 2 Th 3.49-3.53, 4 Dy 3.53-3.72
Dy 0.7888 0.9140 0.7386  5 Ho 3.18-3.53, 1 Th 3.44, 2 Dy 3.53
Ho 0.2360 0.6402 0.9122  5 Ho 3.44-3.68, 5 Dy 3.49-3.79, 2 Th 3.58-3.67
Ho 0.2578 0.8187 0.4783  5 Dy 3.41-3.62, 3 Th 3.44-3.52, 4 Ho 3.53-3.71
Ho 0.5000 0.0000 0.0000  4 Dy 3.18-3.42, 4 Ho 3.44-3.53
Ho 0.7422 0.1813 0.5217  5 Dy 3.41-3.62, 3 Th 3.44-3.52, 4 Ho 3.53-3.71
Ho 0.7640 0.3598 0.0878  5 Ho 3.44-3.68, 5 Dy 3.49-3.79, 2 Th 3.58-3.67
Th 0.2478 0.4554 0.3626  3 Dy 3.44-3.53, 5 Ho 3.44-3.67, 4 Th 3.53-3.62
Th 0.7522 0.5446 0.6374  3 Dy 3.44-3.53, 5 Ho 3.44-3.67, 4 Th 3.53-3.62

Results
DOS at the Fermi energy   1.52 states/eV/atom
Magnetic moment   0.000 μB per formula unit
ρ   9.26 g/cm³
Energy of formation   0.054 eV per atom
Crystal system   triclinic
E above lowest polymorph   0 meV/atom